# 1
Below is a geometry-optimized BaTa2Au structure, with properties calculated at the PBEsol level.

Space-group type: R-3m, No. 166
DFT total energy: -7.017 eV/atom
ΔE to the lowest computed polymorph: 416 meV per atom
Spin magnetization: 0.0 μB per formula unit
Fermi-level density of states: 1.20 states/eV per atom

Unit cell a=10.9439 b=10.9439 c=10.9439 alpha=15.90 beta=15.90 gamma=15.90
Sites, in units of the cell vectors:
Ba  0.0000  0.0000  0.0000
Ta  0.2369  0.2369  0.2369
Ta  0.7631  0.7631  0.7631
Au  0.5000  0.5000  0.5000

***

# 2
Below is a geometry-optimized LiScIn structure, with properties calculated at the PBEsol level.

Space-group type: P-6m2, No. 187
DFT total energy: -4.171 eV/atom
Spin magnetization: 0.0 μB per formula unit
Fermi-level density of states: 0.80 states/eV per atom

Unit cell a=4.7075 b=4.7075 c=3.1655 alpha=90.00 beta=90.00 gamma=120.00
Sites, in units of the cell vectors:
Li  0.0000  0.0000  0.0000
Sc  0.6667  0.3333  0.5000
In  0.3333  0.6667  0.0000

***

# 3
Below is a geometry-optimized SrCd4Pt2 structure, with properties calculated at the PBEsol level.

Space-group type: P4_2/mnm, No. 136
DFT total energy: -3.372 eV/atom
Spin magnetization: 0.0 μB per formula unit
Fermi-level density of states: 0.38 states/eV per atom

Unit cell a=8.1772 b=8.1772 c=4.4586 alpha=90.00 beta=90.00 gamma=90.00
Sites, in units of the cell vectors:
Sr  0.0000  0.0000  0.0000
Sr  0.5000  0.5000  0.5000
Cd  0.0937  0.3449  0.5000
Cd  0.1551  0.5937  0.0000
Cd  0.3449  0.0937  0.5000
Cd  0.4063  0.8449  0.0000
Cd  0.5937  0.1551  0.0000
Cd  0.6551  0.9063  0.5000
Cd  0.8449  0.4063  0.0000
Cd  0.9063  0.6551  0.5000
Pt  0.2176  0.7824  0.5000
Pt  0.2824  0.2824  0.0000
Pt  0.7176  0.7176  0.0000
Pt  0.7824  0.2176  0.5000

***

# 4
Below is a geometry-optimized SnPtIO2 structure, with properties calculated at the PBEsol level.

Energy relative to the elements, uncorrected: -0.2043 eV per atom
Space-group type: P4/mmm, No. 123
DFT total energy: -4.902 eV/atom
Spin magnetization: 0.0 μB per formula unit
Fermi-level density of states: 0.52 states/eV per atom

Unit cell a=3.8636 b=3.8636 c=6.6519 alpha=90.00 beta=90.00 gamma=90.00
Sites, in units of the cell vectors:
Sn  0.0000  0.0000  0.0000
Pt  0.5000  0.5000  0.5000
I  0.0000  0.0000  0.5000
O  0.0000  0.5000  0.0000
O  0.5000  0.0000  0.0000

***

# 5
Below is a geometry-optimized MnZn2Cd structure, with properties calculated at the PBEsol level.

Space-group type: C2/m, No. 12
DFT total energy: -3.350 eV/atom
Spin magnetization: 3.2 μB per formula unit
Fermi-level density of states: 0.62 states/eV per atom

Unit cell a=4.6395 b=4.6395 c=5.0207 alpha=99.35 beta=99.35 gamma=34.94
Sites, in units of the cell vectors:
Mn  0.0000  0.0000  0.0000
Zn  0.2565  0.2565  0.7765
Zn  0.7435  0.7435  0.2235
Cd  0.5000  0.5000  0.5000

***

# 6
Below is a geometry-optimized SrMn2Re structure, with properties calculated at the PBEsol level.

Space-group type: I-4m2, No. 119
DFT total energy: -7.373 eV/atom
ΔE to the lowest computed polymorph: 130 meV per atom
Spin magnetization: 6.4 μB per formula unit
Fermi-level density of states: 1.52 states/eV per atom

Unit cell a=5.2943 b=5.2943 c=5.2943 alpha=136.26 beta=136.26 gamma=63.58
Sites, in units of the cell vectors:
Sr  0.0000  0.0000  0.0000
Mn  0.5000  0.5000  0.0000
Mn  0.7500  0.2500  0.5000
Re  0.2500  0.7500  0.5000

***

# 7
Below is a geometry-optimized MnW2Au structure, with properties calculated at the PBEsol level.

Space-group type: I-4m2, No. 119
DFT total energy: -9.946 eV/atom
ΔE to the lowest computed polymorph: 24 meV per atom
Spin magnetization: 1.5 μB per formula unit
Fermi-level density of states: 1.17 states/eV per atom

Unit cell a=4.7065 b=4.7065 c=4.7065 alpha=130.40 beta=130.40 gamma=72.78
Sites, in units of the cell vectors:
Mn  0.0000  0.0000  0.0000
W  0.5000  0.5000  0.0000
W  0.7500  0.2500  0.5000
Au  0.2500  0.7500  0.5000

***

# 8
Below is a geometry-optimized TbZn3 structure, with properties calculated at the PBEsol level.

Space-group type: Pnma, No. 62
DFT total energy: -2.811 eV/atom
Spin magnetization: 0.0 μB per formula unit
Fermi-level density of states: 0.54 states/eV per atom

Unit cell a=6.5765 b=4.3278 c=9.8793 alpha=90.00 beta=90.00 gamma=90.00
Sites, in units of the cell vectors:
Tb  0.2213  0.2500  0.1604
Tb  0.2787  0.7500  0.6604
Tb  0.7213  0.2500  0.3396
Tb  0.7787  0.7500  0.8396
Zn  0.0364  0.7500  0.3950
Zn  0.0821  0.2500  0.8532
Zn  0.2195  0.7500  0.9557
Zn  0.2805  0.2500  0.4557
Zn  0.4179  0.7500  0.3532
Zn  0.4636  0.2500  0.8950
Zn  0.5364  0.7500  0.1050
Zn  0.5821  0.2500  0.6468
Zn  0.7195  0.7500  0.5443
Zn  0.7805  0.2500  0.0443
Zn  0.9179  0.7500  0.1468
Zn  0.9636  0.2500  0.6050